*one*
Compound: Nd2PdPt2
Source: Alexandria via LeMat-Bulk
Functional: GGA-PBE
Structure: optimized geometry

Output
Crystal system = monoclinic
Calculated density = 11.9 Mg/m³
Space group = C2/c
Magnetization = 0.000 μB/cell

Cell: 5.700 5.700 8.146 Å, 76.01 76.01 59.61°
Positions (direct):
Nd (0.484, 0.213, 0.152)
Nd (0.787, 0.516, 0.348)
Nd (0.516, 0.787, 0.848)
Nd (0.213, 0.484, 0.652)
Pd (0.219, 0.781, 0.250)
Pd (0.781, 0.219, 0.750)
Pt (0.746, 0.996, 0.496)
Pt (0.004, 0.254, 0.004)
Pt (0.254, 0.004, 0.504)
Pt (0.996, 0.746, 0.996)

***

*two*
Compound: Nd2PdPt2
Source: Alexandria via LeMat-Bulk
Functional: GGA-PBE
Structure: optimized geometry

Output
Crystal system = tetragonal
Calculated density = 11.4 Mg/m³
Space group = P4/mnc
Magnetization = 0.000 μB/cell

Cell: 7.633 7.633 7.834 Å, 90.00 90.00 90.00°
Positions (direct):
Nd (0.674, 0.826, 0.500)
Nd (0.326, 0.174, 0.500)
Nd (0.826, 0.326, 0.000)
Nd (0.174, 0.674, 0.000)
Nd (0.826, 0.326, 0.500)
Nd (0.174, 0.674, 0.500)
Nd (0.326, 0.174, 0.000)
Nd (0.674, 0.826, 0.000)
Pd (0.500, 0.500, 0.248)
Pd (0.000, 0.000, 0.748)
Pd (0.500, 0.500, 0.752)
Pd (0.000, 0.000, 0.252)
Pt (0.370, 0.870, 0.250)
Pt (0.630, 0.130, 0.250)
Pt (0.130, 0.370, 0.750)
Pt (0.870, 0.630, 0.750)
Pt (0.870, 0.630, 0.250)
Pt (0.130, 0.370, 0.250)
Pt (0.370, 0.870, 0.750)
Pt (0.630, 0.130, 0.750)

***

Least stable: *two*

***

*one*
Compound: Nd8Pd2Pt
Source: Alexandria via LeMat-Bulk
Functional: GGA-PBE
Structure: optimized geometry

Output
Crystal system = monoclinic
Calculated density = 8.1 Mg/m³
Space group = C2/m
Magnetization = 0.000 μB/cell

Cell: 5.252 6.852 9.654 Å, 107.07 105.78 90.00°
Positions (direct):
Nd (0.409, 0.540, 0.817)
Nd (0.672, 0.004, 0.344)
Nd (0.798, 0.655, 0.595)
Nd (0.972, 0.208, 0.944)
Nd (0.202, 0.345, 0.405)
Nd (0.328, 0.996, 0.656)
Nd (0.591, 0.460, 0.183)
Nd (0.028, 0.792, 0.056)
Pd (0.827, 0.258, 0.655)
Pd (0.173, 0.742, 0.345)
Pt (0.500, 0.000, 0.000)

***

*two*
Compound: Nd8Pd2Pt
Source: Alexandria via LeMat-Bulk
Functional: GGA-PBE
Structure: optimized geometry

Output
Crystal system = monoclinic
Calculated density = 7.7 Mg/m³
Space group = Cm
Magnetization = 0.000 μB/cell

Cell: 6.352 7.871 7.871 Å, 113.91 101.13 101.13°
Positions (direct):
Nd (0.594, 0.350, 0.089)
Nd (0.594, 0.089, 0.350)
Nd (0.167, 0.362, 0.362)
Nd (0.981, 0.202, 0.796)
Nd (0.981, 0.796, 0.202)
Nd (0.804, 0.646, 0.646)
Nd (0.356, 0.914, 0.653)
Nd (0.356, 0.653, 0.914)
Pd (0.488, 0.693, 0.316)
Pd (0.488, 0.316, 0.693)
Pt (0.191, 0.013, 0.013)

***

Least stable: *two*

***

*one*
Compound: NdPdPt
Source: Alexandria via LeMat-Bulk
Functional: GGA-PBE
Structure: optimized geometry

Output
Crystal system = monoclinic
Calculated density = 11.7 Mg/m³
Space group = C2/m
Magnetization = 0.000 μB/cell

Cell: 7.578 6.021 6.020 Å, 90.00 90.00 112.55°
Positions (direct):
Pd (0.761, 0.627, 0.000)
Pd (0.239, 0.873, 0.500)
Pd (0.239, 0.373, 0.000)
Pd (0.761, 0.127, 0.500)
Nd (0.188, 0.848, 0.000)
Nd (0.812, 0.652, 0.500)
Nd (0.812, 0.152, 0.000)
Nd (0.188, 0.348, 0.500)
Pt (0.500, 0.250, 0.250)
Pt (0.500, 0.250, 0.750)
Pt (0.500, 0.750, 0.750)
Pt (0.500, 0.750, 0.250)

***

*two*
Compound: NdPdPt
Source: Alexandria via LeMat-Bulk
Functional: GGA-PBE
Structure: optimized geometry

Output
Crystal system = orthorhombic
Calculated density = 12.1 Mg/m³
Space group = Cmcm
Magnetization = 0.000 μB/cell

Cell: 5.125 4.839 5.833 Å, 90.00 90.00 121.97°
Positions (direct):
Nd (0.661, 0.822, 0.750)
Nd (0.339, 0.178, 0.250)
Pd (0.690, 0.880, 0.250)
Pd (0.310, 0.120, 0.750)
Pt (0.000, 0.500, 0.000)
Pt (0.000, 0.500, 0.500)

***

*three*
Compound: NdPdPt
Source: Alexandria via LeMat-Bulk
Functional: GGA-PBE
Structure: optimized geometry

Output
Crystal system = orthorhombic
Calculated density = 12.4 Mg/m³
Space group = Imma
Magnetization = 0.000 μB/cell

Cell: 5.538 5.522 5.522 Å, 59.75 59.90 59.90°
Positions (direct):
Nd (0.876, 0.374, 0.374)
Nd (0.124, 0.626, 0.626)
Pd (0.500, 0.500, 0.000)
Pd (0.500, 0.000, 0.500)
Pt (0.000, 0.000, 0.000)
Pt (0.500, 0.000, 0.000)

***

*four*
Compound: NdPdPt
Source: Alexandria via LeMat-Bulk
Functional: GGA-PBE
Structure: optimized geometry

Output
Crystal system = hexagonal
Calculated density = 11.1 Mg/m³
Space group = P-6m2
Magnetization = 0.000 μB/cell

Cell: 3.798 4.500 4.500 Å, 120.00 90.00 90.00°
Positions (direct):
Nd (0.667, 0.667, 0.333)
Pd (0.166, 0.000, 0.000)
Pt (0.167, 0.333, 0.667)

***

Least stable: *four*

***

*one*
Compound: Nd8PdPt2
Source: Alexandria via LeMat-Bulk
Functional: GGA-PBE
Structure: optimized geometry

Output
Crystal system = monoclinic
Calculated density = 8.1 Mg/m³
Space group = Cm
Magnetization = 0.000 μB/cell

Cell: 6.370 7.765 7.765 Å, 112.23 100.39 100.39°
Positions (direct):
Nd (0.596, 0.345, 0.082)
Nd (0.596, 0.082, 0.345)
Nd (0.173, 0.366, 0.366)
Nd (0.981, 0.210, 0.787)
Nd (0.981, 0.787, 0.210)
Nd (0.797, 0.645, 0.645)
Nd (0.359, 0.921, 0.656)
Nd (0.359, 0.656, 0.921)
Pd (0.181, 0.015, 0.015)
Pt (0.489, 0.688, 0.319)
Pt (0.489, 0.319, 0.688)

***

*two*
Compound: Nd8PdPt2
Source: Alexandria via LeMat-Bulk
Functional: GGA-PBE
Structure: optimized geometry

Output
Crystal system = monoclinic
Calculated density = 8.6 Mg/m³
Space group = C2/m
Magnetization = 0.000 μB/cell

Cell: 5.114 7.046 9.351 Å, 99.45 105.87 90.00°
Positions (direct):
Nd (0.412, 0.554, 0.823)
Nd (0.666, 0.966, 0.333)
Nd (0.798, 0.666, 0.595)
Nd (0.965, 0.226, 0.931)
Nd (0.202, 0.334, 0.405)
Nd (0.334, 0.034, 0.667)
Nd (0.588, 0.446, 0.177)
Nd (0.035, 0.774, 0.069)
Pd (0.500, 0.000, 0.000)
Pt (0.801, 0.258, 0.602)
Pt (0.199, 0.742, 0.398)

***

Least stable: *one*